Entry 1:
# Ni5MoRh4

An optimized crystal structure of Ni5MoRh4 (PBE, Alexandria via LeMat-Bulk).

The space group is C2/m (No. 12) and the conventional cell measures 12.7477, 2.6364 and 8.2941 Å, with angles of 90.00, 109.20 and 90.00 degrees. The asymmetric unit holds Ni at (0.0000, 0.0000, 0.0000), Ni at (0.1855, 0.5000, 0.5779), Ni at (0.2246, 0.5000, 0.1207), Mo at (0.0000, 0.0000, 0.5000), Rh at (0.0865, 0.5000, 0.8042) and Rh at (0.1135, 0.0000, 0.2936).

The total moment is 4.578 Bohr magnetons per cell. The calculation puts the volume at 13.2 Å³/atom. Its formation energy is 115 meV/atom. The value obtained for the final energy is -135.98 eV for the cell shown. The crystal system is monoclinic.

---

Entry 2:
# Pr2GaNi3Pt12

An optimized crystal structure of Pr2GaNi3Pt12 (PBE, Alexandria via LeMat-Bulk).

The space group is R-3m (No. 166, hexagonal axes) and the conventional cell measures 8.0290, 8.0290 and 19.3842 Å, with angles of 90.00, 90.00 and 120.00 degrees. The asymmetric unit holds Pr at (0.0000, 0.0000, 0.1196), Ga at (0.0000, 0.0000, 0.5000), Ni at (0.0000, 0.5000, 0.0000), Pt at (0.0018, 0.5009, 0.8747) and Pt at (0.0080, 0.5040, 0.3732).

The total moment is 10.828 Bohr magnetons per cell. The calculation puts the volume at 20.0 Å³/atom. Its formation energy is -71 meV/atom. The value obtained for the final energy is -311.07 eV for the cell shown. The crystal system is trigonal.

---

Entry 3:
# Sm2Ga2Pd3

An optimized crystal structure of Sm2Ga2Pd3 (PBE, Alexandria via LeMat-Bulk).

The space group is C2/m (No. 12) and the conventional cell measures 10.7404, 3.9240 and 7.1593 Å, with angles of 90.00, 112.71 and 90.00 degrees. The asymmetric unit holds Sm at (0.1260, 0.0000, 0.2639), Ga at (0.1555, 0.0000, 0.7220), Pd at (0.0000, 0.5000, 0.5000) and Pd at (0.1224, 0.5000, 0.9373).

The total moment is 0.000 Bohr magnetons per cell. The calculation puts the volume at 19.9 Å³/atom. Its formation energy is -819 meV/atom. The calculation puts the energy above the most stable polymorph in this dataset at 0.000 eV/atom. The value obtained for the final energy is -73.60 eV for the cell shown. The crystal system is monoclinic.

---

Entry 4:
# U2SbSe

An optimized crystal structure of U2SbSe (PBE, Alexandria via LeMat-Bulk).

The space group is P4/mmm (No. 123) and the conventional cell measures 3.6236, 3.6236 and 7.3287 Å, with angles of 90.00, 90.00 and 90.00 degrees. The asymmetric unit holds U at (0.0000, 0.0000, 0.2417), Sb at (0.5000, 0.5000, 0.5000) and Se at (0.5000, 0.5000, 0.0000).

The total moment is 6.563 Bohr magnetons per cell. The calculation puts the volume at 24.1 Å³/atom. For the raw formation energy, the calculation gives -0.495 eV per atom. The calculation puts the energy above the most stable polymorph in this dataset at 0.079 eV/atom. The value obtained for the final energy is -32.16 eV for the cell shown. The crystal system is tetragonal.

---

Entry 5:
# Ba2BeSiW

An optimized crystal structure of Ba2BeSiW (PBE, Alexandria via LeMat-Bulk).

The space group is P4/mmm (No. 123) and the conventional cell measures 6.3836, 6.3836 and 4.0851 Å, with angles of 90.00, 90.00 and 90.00 degrees. The asymmetric unit holds Ba at (0.0000, 0.5000, 0.0000), Be at (0.0000, 0.0000, 0.5000), Si at (0.0000, 0.0000, 0.0000) and W at (0.5000, 0.5000, 0.5000).

The total moment is 4.242 Bohr magnetons per cell. The calculation puts the volume at 33.3 Å³/atom. For the raw formation energy, the calculation gives 1.093 eV per atom. The value obtained for the final energy is -20.48 eV for the cell shown. The crystal system is tetragonal.

---

Entry 6:
# Ga2MoAs2

An optimized crystal structure of Ga2MoAs2 (PBE, Alexandria via LeMat-Bulk).

The space group is P4/mbm (No. 127) and the conventional cell measures 7.0185, 7.0185 and 3.5619 Å, with angles of 90.00, 90.00 and 90.00 degrees. The asymmetric unit holds Ga at (0.1316, 0.3684, 0.0000), Mo at (0.0000, 0.0000, 0.0000) and As at (0.1809, 0.6809, 0.5000).

The total moment is 2.768 Bohr magnetons per cell. The calculation puts the volume at 17.5 Å³/atom. Its formation energy is 375 meV/atom. The calculation puts the energy above the most stable polymorph in this dataset at 0.000 eV/atom. The value obtained for the final energy is -48.62 eV for the cell shown. The crystal system is tetragonal.

---

Entry 7:
# BaCeBi2

An optimized crystal structure of BaCeBi2 (PBE, Alexandria via LeMat-Bulk).

The space group is R3m (No. 160, hexagonal axes) and the conventional cell measures 4.7267, 4.7267 and 24.7709 Å, with angles of 90.00, 90.00 and 120.00 degrees. The asymmetric unit holds Ba at (0.0000, 0.0000, 0.0000), Ce at (0.0000, 0.0000, 0.8294), Bi at (0.0000, 0.0000, 0.2340) and Bi at (0.0000, 0.0000, 0.4270).

The total moment is 0.370 Bohr magnetons per cell. The calculation puts the volume at 39.9 Å³/atom. Its formation energy is -773 meV/atom. The calculation puts the energy above the most stable polymorph in this dataset at 0.051 eV/atom. The value obtained for the final energy is -56.14 eV for the cell shown. The crystal system is trigonal.

---

Entry 8:
# Rb2CeTe2O6

An optimized crystal structure of Rb2CeTe2O6 (PBE, Alexandria via LeMat-Bulk).

The space group is C2/m (No. 12) and the conventional cell measures 10.3711, 7.1430 and 6.6687 Å, with angles of 90.00, 112.93 and 90.00 degrees. The asymmetric unit holds Rb at (0.1927, 0.0000, 0.1106), Ce at (0.0000, 0.0000, 0.5000), Te at (0.0593, 0.5000, 0.2626), O at (0.0256, 0.2114, 0.2754) and O at (0.2500, 0.0000, 0.7095).

The total moment is 0.000 Bohr magnetons per cell. The calculation puts the volume at 20.7 Å³/atom. For the raw formation energy, the calculation gives -1.701 eV per atom. The value obtained for the final energy is -125.22 eV for the cell shown. The crystal system is monoclinic.

---

Entry 9:
# Rb2BaSb2

An optimized crystal structure of Rb2BaSb2 (PBE, Alexandria via LeMat-Bulk).

The space group is P4/mbm (No. 127) and the conventional cell measures 8.8532, 8.8532 and 5.9168 Å, with angles of 90.00, 90.00 and 90.00 degrees. The asymmetric unit holds Rb at (0.1597, 0.3403, 0.0000), Ba at (0.0000, 0.0000, 0.5000) and Sb at (0.1173, 0.6173, 0.5000).

The total moment is 0.077 Bohr magnetons per cell. The calculation puts the volume at 46.4 Å³/atom. For the raw formation energy, the calculation gives -0.490 eV per atom. The calculation puts the energy above the most stable polymorph in this dataset at 0.000 eV/atom. The value obtained for the final energy is -29.10 eV for the cell shown. The crystal system is tetragonal.

---

Entry 10:
# Ga2AgCl6

An optimized crystal structure of Ga2AgCl6 (PBE, Alexandria via LeMat-Bulk).

The space group is C2/c (No. 15) and the conventional cell measures 13.1347, 11.9639 and 7.6850 Å, with angles of 90.00, 111.05 and 90.00 degrees. The asymmetric unit holds Ga at (0.2056, 0.0958, 0.2425), Ag at (0.0000, 0.4046, 0.2500), Cl at (0.1105, 0.4146, 0.6447), Cl at (0.1410, 0.0033, 0.4554) and Cl at (0.1574, 0.2766, 0.1979).

The total moment is 0.000 Bohr magnetons per cell. The calculation puts the volume at 31.3 Å³/atom. For the raw formation energy, the calculation gives -0.827 eV per atom. The calculation puts the energy above the most stable polymorph in this dataset at 0.000 eV/atom. The value obtained for the final energy is -109.70 eV for the cell shown. The crystal system is monoclinic.

---

Entry 11:
# YTl2Pb

An optimized crystal structure of YTl2Pb (PBE, Alexandria via LeMat-Bulk).

The space group is Pmmm (No. 47) and the conventional cell measures 4.6469, 4.7693 and 5.0428 Å, with angles of 90.00, 90.00 and 90.00 degrees. The asymmetric unit holds Y at (0.0000, 0.0000, 0.0000), Tl at (0.0000, 0.5000, 0.5000), Tl at (0.5000, 0.0000, 0.5000) and Pb at (0.5000, 0.5000, 0.0000).

The total moment is 0.000 Bohr magnetons per cell. The calculation puts the volume at 27.9 Å³/atom. Its formation energy is -259 meV/atom. The value obtained for the final energy is -15.94 eV for the cell shown. The crystal system is orthorhombic.

---

Entry 12:
# NdDy2Er

An optimized crystal structure of NdDy2Er (PBE, Alexandria via LeMat-Bulk).

The space group is P4/mmm (No. 123) and the conventional cell measures 5.0407, 5.0407 and 5.0530 Å, with angles of 90.00, 90.00 and 90.00 degrees. The asymmetric unit holds Nd at (0.0000, 0.0000, 0.0000), Dy at (0.0000, 0.5000, 0.5000) and Er at (0.5000, 0.5000, 0.0000).

The total moment is 0.000 Bohr magnetons per cell. The calculation puts the volume at 32.1 Å³/atom. Its formation energy is 22 meV/atom. The calculation puts the energy above the most stable polymorph in this dataset at 0.015 eV/atom. The value obtained for the final energy is -18.45 eV for the cell shown. The crystal system is tetragonal.

---

Entry 13:
# Ce2Dy3Y6Sc

An optimized crystal structure of Ce2Dy3Y6Sc (PBE, Alexandria via LeMat-Bulk).

The space group is C2/m (No. 12) and the conventional cell measures 6.1131, 10.5874 and 11.7023 Å, with angles of 90.00, 100.02 and 90.00 degrees. The asymmetric unit holds Ce at (0.0000, 0.1664, 0.0000), Dy at (0.0000, 0.0000, 0.5000), Dy at (0.0000, 0.3341, 0.5000), Y at (0.2485, 0.3338, 0.2466), Y at (0.2500, 0.0000, 0.2469) and Sc at (0.0000, 0.5000, 0.0000).

The total moment is 3.595 Bohr magnetons per cell. The calculation puts the volume at 31.1 Å³/atom. Its formation energy is 57 meV/atom. The value obtained for the final energy is -140.20 eV for the cell shown. The crystal system is monoclinic.

---

Entry 14:
# PmFeN

An optimized crystal structure of PmFeN (PBE, Alexandria via LeMat-Bulk).

The space group is P3m1 (No. 156) and the conventional cell measures 3.4429, 3.4429 and 4.2073 Å, with angles of 90.00, 90.00 and 120.00 degrees. The asymmetric unit holds Pm at (0.0000, 0.0000, 0.0000), Fe at (0.6667, 0.3333, 0.4780) and N at (0.3333, 0.6667, 0.4385).

The total moment is 1.517 Bohr magnetons per cell. The calculation puts the volume at 14.4 Å³/atom. For the raw formation energy, the calculation gives -0.209 eV per atom. The value obtained for the final energy is -22.17 eV for the cell shown. The crystal system is trigonal.

---

Entry 15:
# As2PSBr

An optimized crystal structure of As2PSBr (PBE, Alexandria via LeMat-Bulk).

The space group is P4/mmm (No. 123) and the conventional cell measures 4.9726, 4.9726 and 4.7025 Å, with angles of 90.00, 90.00 and 90.00 degrees. The asymmetric unit holds As at (0.0000, 0.5000, 0.0000), P at (0.0000, 0.0000, 0.5000), S at (0.5000, 0.5000, 0.0000) and Br at (0.5000, 0.5000, 0.5000).

The total moment is 0.235 Bohr magnetons per cell. The calculation puts the volume at 23.3 Å³/atom. For the raw formation energy, the calculation gives 1.060 eV per atom. The calculation puts the energy above the most stable polymorph in this dataset at 0.199 eV/atom. The value obtained for the final energy is -15.21 eV for the cell shown. The crystal system is tetragonal.

---

Entry 16:
# NaSnPCO7

An optimized crystal structure of NaSnPCO7 (PBE, Alexandria via LeMat-Bulk).

The space group is P2_1/m (No. 11) and the conventional cell measures 5.1249, 6.5792 and 9.2802 Å, with angles of 90.00, 90.23 and 90.00 degrees. The asymmetric unit holds Na at (0.1018, 0.2500, 0.3935), Sn at (0.2364, 0.7500, 0.1610), P at (0.2783, 0.2500, 0.0724), C at (0.3781, 0.7500, 0.4246), O at (0.1240, 0.2500, 0.9300), O at (0.1245, 0.7500, 0.3829), O at (0.2129, 0.0661, 0.1702), O at (0.4276, 0.7500, 0.9677), O at (0.4443, 0.7500, 0.5537) and O at (0.4597, 0.2500, 0.6864).

The total moment is 0.119 Bohr magnetons per cell. The calculation puts the volume at 14.2 Å³/atom. For the raw formation energy, the calculation gives -1.810 eV per atom. The calculation puts the energy above the most stable polymorph in this dataset at 0.000 eV/atom. The value obtained for the final energy is -149.14 eV for the cell shown. The crystal system is monoclinic.

---

Entry 17:
# Zr2S4Br

An optimized crystal structure of Zr2S4Br (PBE, Alexandria via LeMat-Bulk).

The space group is C2 (No. 5) and the conventional cell measures 11.4012, 10.6620 and 8.0527 Å, with angles of 90.00, 134.82 and 90.00 degrees. The asymmetric unit holds Zr at (0.0000, 0.0000, 0.2494), Zr at (0.2496, 0.2510, 0.2496), S at (0.9996, 0.2499, 0.1987), S at (0.0004, 0.7507, 0.3019), S at (0.2114, 0.0101, 0.2111), S at (0.2111, 0.9913, 0.7107), Br at (0.0000, 0.2807, 0.5000) and Br at (0.0000, 0.7212, 0.0000).

The total moment is 0.000 Bohr magnetons per cell. The calculation puts the volume at 24.8 Å³/atom. For the raw formation energy, the calculation gives -1.040 eV per atom. The value obtained for the final energy is -170.24 eV for the cell shown. The crystal system is monoclinic.

---

Entry 18:
# Zr2RuPb

An optimized crystal structure of Zr2RuPb (PBE, Alexandria via LeMat-Bulk).

The space group is R3m (No. 160, hexagonal axes) and the conventional cell measures 3.2906, 3.2906 and 27.8587 Å, with angles of 90.00, 90.00 and 120.00 degrees. The asymmetric unit holds Zr at (0.0000, 0.0000, 0.0000), Zr at (0.0000, 0.0000, 0.2425), Ru at (0.0000, 0.0000, 0.5080) and Pb at (0.0000, 0.0000, 0.7620).

The total moment is 0.000 Bohr magnetons per cell. The calculation puts the volume at 21.8 Å³/atom. Its formation energy is 82 meV/atom. The value obtained for the final energy is -89.26 eV for the cell shown. The crystal system is trigonal.

---

Entry 19:
# Tb4Pr3Ga4

An optimized crystal structure of Tb4Pr3Ga4 (PBE, Alexandria via LeMat-Bulk).

The space group is Immm (No. 71) and the conventional cell measures 4.9916, 7.3090 and 16.6885 Å, with angles of 90.00, 90.00 and 90.00 degrees. The asymmetric unit holds Tb at (0.0000, 0.2224, 0.1753), Pr at (0.0000, 0.0000, 0.3950), Pr at (0.0000, 0.5000, 0.5000), Ga at (0.0000, 0.3136, 0.0000) and Ga at (0.0000, 0.5000, 0.3109).

The total moment is 0.000 Bohr magnetons per cell. The calculation puts the volume at 27.7 Å³/atom. Its formation energy is -376 meV/atom. The value obtained for the final energy is -98.20 eV for the cell shown. The crystal system is orthorhombic.

---

Entry 20:
# KPbCl2F

An optimized crystal structure of KPbCl2F (PBE, Alexandria via LeMat-Bulk).

The space group is P4/mmm (No. 123) and the conventional cell measures 5.7720, 5.7720 and 4.7407 Å, with angles of 90.00, 90.00 and 90.00 degrees. The asymmetric unit holds K at (0.0000, 0.0000, 0.0000), Pb at (0.5000, 0.5000, 0.5000), Cl at (0.0000, 0.5000, 0.5000) and F at (0.5000, 0.5000, 0.0000).

The total moment is 0.000 Bohr magnetons per cell. The calculation puts the volume at 31.6 Å³/atom. For the raw formation energy, the calculation gives -1.777 eV per atom. The calculation puts the energy above the most stable polymorph in this dataset at 0.055 eV/atom. The value obtained for the final energy is -19.26 eV for the cell shown. The crystal system is tetragonal.